First-principles (GGA-PBE) data for an optimized crystal structure of Ba2TlGaCu, as listed in the Alexandria database.

Computed properties:
* DFT formation energy: -0.91 eV/f.u.
* N(E_F): 3.00 states/eV/f.u.

a b c (Å): 6.222 6.222 4.637
angles (deg): 90.00 90.00 90.00
Space group P4/mmm (No. 123)
Inequivalent atoms, fractional coordinates:
Ba: 0.000 0.500 0.000 x2
Tl: 0.000 0.000 0.500 x1
Ga: 0.500 0.500 0.500 x1
Cu: 0.500 0.500 0.000 x1

First-principles (GGA-PBE) data for an optimized crystal structure of BaU2NO5, as listed in the Alexandria database.

Computed properties:
* formation energy from raw total energies: -2.805 eV/atom
* N(E_F): 6.50 states/eV/f.u.

a b c (Å): 4.317 4.317 8.506
angles (deg): 90.00 90.00 90.00
Space group P4/mmm (No. 123)
Inequivalent atoms, fractional coordinates:
Ba: 0.000 0.000 0.000 x1
U: 0.500 0.500 0.261 x2
N: 0.500 0.500 0.500 x1
O: 0.000 0.500 0.227 x4
O: 0.500 0.500 0.000 x1

First-principles (GGA-PBE) data for an optimized crystal structure of SrTcOs2, as listed in the Alexandria database.

Computed properties:
* DFT formation energy: 4.50 eV/f.u.
* N(E_F): 4.22 states/eV/f.u.

a b c (Å): 6.535 6.535 6.535
angles (deg): 90.00 90.00 90.00
Space group Fm-3m (No. 225)
Inequivalent atoms, fractional coordinates:
Sr: 0.000 0.000 0.000 x4
Tc: 0.000 0.000 0.500 x4
Os: 0.250 0.250 0.250 x8

First-principles (GGA-PBE) data for an optimized crystal structure of ZnMoIr4, as listed in the Alexandria database.

Computed properties:
* DFT formation energy: 1.77 eV/f.u.
* N(E_F): 5.27 states/eV/f.u.

a b c (Å): 7.265 7.265 7.265
angles (deg): 90.00 90.00 90.00
Space group F-43m (No. 216)
Inequivalent atoms, fractional coordinates:
Zn: 0.000 0.000 0.000 x4
Mo: 0.250 0.250 0.250 x4
Ir: 0.126 0.126 0.626 x16

First-principles (GGA-PBE) data for an optimized crystal structure of AcYNiRu, as listed in the Alexandria database.

Computed properties:
* DFT formation energy: -0.59 eV/f.u.
* N(E_F): 4.46 states/eV/f.u.

a b c (Å): 7.093 7.093 7.093
angles (deg): 90.00 90.00 90.00
Space group F-43m (No. 216)
Inequivalent atoms, fractional coordinates:
Ac: 0.000 0.000 0.000 x4
Y: 0.000 0.000 0.500 x4
Ni: 0.250 0.250 0.750 x4
Ru: 0.250 0.250 0.250 x4

First-principles (GGA-PBE) data for an optimized crystal structure of TeRh3W, as listed in the Alexandria database.

Computed properties:
* formation energy from raw total energies: 1.670 eV/atom
* N(E_F): 6.81 states/eV/f.u.

a b c (Å): 4.717 4.717 4.717
angles (deg): 90.00 90.00 90.00
Space group Pm-3m (No. 221)
Inequivalent atoms, fractional coordinates:
Te: 0.000 0.000 0.000 x1
Rh: 0.000 0.000 0.500 x3
W: 0.500 0.500 0.500 x1

First-principles (GGA-PBE) data for an optimized crystal structure of IrAu2Cl, as listed in the Alexandria database.

Computed properties:
* formation energy from raw total energies: 0.856 eV/atom
* N(E_F): 4.04 states/eV/f.u.

a b c (Å): 3.932 3.932 9.213
angles (deg): 90.00 90.00 90.00
Space group I4/mmm (No. 139)
Inequivalent atoms, fractional coordinates:
Ir: 0.000 0.000 0.000 x2
Au: 0.000 0.500 0.250 x4
Cl: 0.000 0.000 0.500 x2

First-principles (GGA-PBE) data for an optimized crystal structure of Pu2ThAs2Rh7, as listed in the Alexandria database.

Computed properties:
* DFT formation energy: -7.86 eV/f.u.
* N(E_F): 23.41 states/eV/f.u.

a b c (Å): 5.798 5.718 13.402
angles (deg): 90.00 97.60 90.00
Space group C2/m (No. 12)
Inequivalent atoms, fractional coordinates:
Pu: 0.099 0.000 0.357 x4
Th: 0.000 0.000 0.000 x2
As: 0.077 0.500 0.263 x4
Rh: 0.000 0.500 0.000 x2
Rh: 0.170 0.500 0.445 x4
Rh: 0.202 0.249 0.837 x8

What is the N(E_F) in the seventh record? 4.04 states/eV/f.u.

What is the formula in the third record? SrTcOs2

Which of these has the lowest N(E_F)? Ba2TlGaCu

Among the records above, which one has the highest N(E_F)? Pu2ThAs2Rh7